[1]
TcSb2Mo PBE optimized geometry; magnetic moment = 0.000 μB/atom; formation energy (no corrections) = 0.240 eV/atom
1.0
3.115 0.000 0.000
-1.557 2.698 0.000
0.000 0.000 32.218
Tc Sb Mo
3 6 3
direct
0.000 0.000 0.000
0.333 0.667 0.667
0.667 0.333 0.333
0.000 0.000 0.266
0.000 0.000 0.464
0.333 0.667 0.130
0.333 0.667 0.933
0.667 0.333 0.600
0.667 0.333 0.797
0.000 0.000 0.727
0.333 0.667 0.394
0.667 0.333 0.060


[2]
TcSb2Mo PBE optimized geometry; magnetic moment = 0.000 μB/atom; formation energy (no corrections) = 0.191 eV/atom
1.0
9.574 0.000 0.000
0.000 3.300 0.000
-1.478 0.000 4.642
Tc Sb Mo
2 4 2
direct
0.000 0.000 0.000
0.500 0.500 0.000
0.013 0.500 0.496
0.243 0.500 0.130
0.513 0.000 0.496
0.743 0.000 0.130
0.258 0.000 0.629
0.758 0.500 0.629


[3]
Tc2SbMo PBE optimized geometry; magnetic moment = 0.000 μB/atom; formation energy (no corrections) = 0.485 eV/atom
1.0
3.229 0.000 0.000
0.000 4.870 0.000
0.000 0.000 8.683
Tc Sb Mo
4 2 2
direct
0.000 0.000 0.233
0.000 0.000 0.767
0.500 0.500 0.233
0.500 0.500 0.767
0.000 0.500 0.500
0.500 0.000 0.500
0.000 0.500 0.000
0.500 0.000 0.000


[4]
TcSbMo PBE optimized geometry; magnetic moment = 0.000 μB/atom; formation energy (no corrections) = 0.269 eV/atom
1.0
3.050 0.000 0.000
0.000 4.183 0.000
0.000 0.000 8.040
Tc Sb Mo
2 2 2
direct
0.000 0.000 0.000
0.500 0.500 0.500
0.000 0.000 0.337
0.500 0.500 0.837
0.000 0.000 0.674
0.500 0.500 0.174


[5]
TcSbMo2 PBE optimized geometry; magnetic moment = 0.000 μB/atom; formation energy (no corrections) = 0.367 eV/atom
1.0
4.582 0.000 0.000
0.000 4.582 0.000
0.000 0.000 3.176
Tc Sb Mo
1 1 2
direct
0.000 0.000 0.000
0.500 0.500 0.000
0.000 0.500 0.500
0.500 0.000 0.500


[6]
Tc2SbMo PBE optimized geometry; magnetic moment = 0.000 μB/atom; formation energy (no corrections) = 0.133 eV/atom
1.0
3.178 0.000 0.000
0.000 3.178 0.000
0.000 0.000 6.449
Tc Sb Mo
2 1 1
direct
0.000 0.000 0.241
0.000 0.000 0.759
0.500 0.500 0.500
0.500 0.500 0.000


[7]
TcSb2Mo PBE optimized geometry; magnetic moment = 0.000 μB/atom; formation energy (no corrections) = 0.223 eV/atom
1.0
3.207 0.000 0.000
0.000 4.948 0.000
0.000 0.000 4.668
Tc Sb Mo
1 2 1
direct
0.000 0.000 0.000
0.000 0.500 0.266
0.500 0.000 0.509
0.500 0.500 0.780


[8]
Tc2SbMo PBE optimized geometry; magnetic moment = 0.000 μB/atom; formation energy (no corrections) = 0.223 eV/atom
1.0
3.243 0.000 0.000
0.000 4.449 0.000
0.000 0.000 8.952
Tc Sb Mo
4 2 2
direct
0.000 0.000 0.243
0.000 0.000 0.757
0.500 0.500 0.257
0.500 0.500 0.743
0.000 0.500 0.500
0.500 0.000 0.000
0.000 0.500 0.000
0.500 0.000 0.500


Number 3 is which compound? Tc2SbMo


Number 5 is which compound? TcSbMo2